No. 1
## Cu2Ag (GGA-PBE)

Data for a relaxed Cu2Ag crystal.

For the offset from the most stable computed form, the calculation gives 46 meV/atom. Its calculated total energy is -3.328 eV/atom.

Geometry as POSCAR:
```
Cu2Ag
1.0
-0.2786 4.5894 -0.7975
-0.0385 4.2585 1.9080
10.4014 -3.7922 -1.3871
Ag Cu
3 6
Direct
0.0000 0.0000 0.0000 Ag
0.1029 0.1029 0.4361 Ag
0.8971 0.8971 0.5639 Ag
0.7841 0.7841 0.1126 Cu
0.5517 0.5517 0.2176 Cu
0.3172 0.3172 0.3148 Cu
0.6828 0.6828 0.6852 Cu
0.4483 0.4483 0.7824 Cu
0.2159 0.2159 0.8874 Cu
```



No. 2
## LaCu3Ni2 (GGA-PBE)

Data for a relaxed LaCu3Ni2 crystal.

Its calculated total energy is -4.781 eV/atom.

Geometry as POSCAR:
```
LaCu3Ni2
1.0
5.0201 0.0000 0.0000
-2.5100 4.3475 0.0000
0.0000 0.0000 4.1057
Cu La Ni
3 1 2
Direct
0.5000 0.0000 0.5000 Cu
0.0000 0.5000 0.5000 Cu
0.5000 0.5000 0.5000 Cu
0.0000 0.0000 0.0000 La
0.6667 0.3333 0.0000 Ni
0.3333 0.6667 0.0000 Ni
```



No. 3
## BeCdAu2 (GGA-PBE)

Data for a relaxed BeCdAu2 crystal.

Its calculated total energy is -2.673 eV/atom.

Geometry as POSCAR:
```
BeCdAu2
1.0
1.0914 -2.2621 3.8053
-2.5887 0.4285 3.7287
-2.5804 -3.4897 1.3971
Au Be Cd
2 1 1
Direct
0.0000 0.0000 0.0000 Au
0.7500 0.7500 0.7500 Au
0.5000 0.5000 0.5000 Be
0.2500 0.2500 0.2500 Cd
```



No. 4
## AlCd2 (GGA-PBE)

Data for a relaxed AlCd2 crystal.

Its calculated total energy is -1.208 eV/atom.

Geometry as POSCAR:
```
AlCd2
1.0
4.2362 2.4458 6.9177
-4.2362 2.4458 6.9177
0.0000 -4.8916 6.9177
Al Cd
2 4
Direct
0.2500 0.2500 0.2500 Al
0.5000 0.5000 0.5000 Al
0.3750 0.3750 0.3750 Cd
0.8750 0.3750 0.3750 Cd
0.3750 0.8750 0.3750 Cd
0.3750 0.3750 0.8750 Cd
```



No. 5
## TlCdGa2 (GGA-PBE)

Data for a relaxed TlCdGa2 crystal.

Its calculated total energy is -2.213 eV/atom.

Geometry as POSCAR:
```
TlCdGa2
1.0
0.0000 3.5931 3.5931
3.5931 0.0000 3.5931
3.5931 3.5931 0.0000
Cd Ga Tl
1 2 1
Direct
0.7500 0.7500 0.7500 Cd
0.2500 0.2500 0.2500 Ga
0.5000 0.5000 0.5000 Ga
0.0000 0.0000 0.0000 Tl
```



No. 6
## PmBiMo (GGA-PBE)

Data for a relaxed PmBiMo crystal.

For the offset from the most stable computed form, the calculation gives 418 meV/atom. Its calculated total energy is -5.538 eV/atom.

Geometry as POSCAR:
```
PmBiMo
1.0
0.0000 3.6329 3.6329
3.6329 0.0000 3.6329
3.6329 3.6329 0.0000
Bi Mo Pm
1 1 1
Direct
0.2500 0.2500 0.2500 Bi
0.7500 0.7500 0.7500 Mo
0.0000 0.0000 0.0000 Pm
```